# PBE-GGA Cs4U3NiSe8, relaxed
# - energy relative to the elements, uncorrected (meV per atom) = -1026
# - size of the total moment (μB/f.u.) = 8.21
data_Cs4U3NiSe8
_chemical_formula_sum 'Cs8 U6 Ni2 Se16'
_cell_length_a 14.874
_cell_length_b 8.292
_cell_length_c 9.699
_cell_angle_alpha 90.00
_cell_angle_beta 120.19
_cell_angle_gamma 90.00
_space_group_name_H-M_alt 'C 1 2/m 1'
_space_group_IT_number 12
loop_
_space_group_symop_operation_xyz
'x,y,z'
'-x,-y,-z'
'-x,y,-z'
'x,-y,z'
'x+1/2,y+1/2,z'
'-x+1/2,-y+1/2,-z'
'-x+1/2,y+1/2,-z'
'x+1/2,-y+1/2,z'
loop_
_atom_site_label
_atom_site_fract_x
_atom_site_fract_y
_atom_site_fract_z
_atom_site_occupancy
Cs1 0.000 0.000 0.000 1
Cs2 0.000 0.500 0.000 1
Cs3 0.250 0.250 0.000 1
U1 0.000 0.000 0.500 1
U2 0.250 0.250 0.500 1
Ni1 0.000 0.500 0.500 1
Se1 0.024 0.268 0.330 1
Se2 0.227 0.000 0.689 1
Se3 0.243 0.500 0.694 1